No. 1
## Co3AgIr (PBE)

Data for a relaxed Co3AgIr crystal.

```
Co3AgIr
1.0
4.565 0.000 0.000
0.000 4.565 0.000
0.000 0.000 4.565
Co Ag Ir
3 1 1
direct
0.000 0.000 0.500
0.000 0.500 0.000
0.500 0.000 0.000
0.500 0.500 0.500
0.000 0.000 0.000
```

Space-group type: Pm-3m, No. 221
Raw total energy, eV/atom: -5.286
Polymorph energy (0 for the lowest one), meV/atom: 0

=====

No. 2
## CoAgIr2 (PBE)

Data for a relaxed CoAgIr2 crystal.

```
CoAgIr2
1.0
2.743 0.000 0.000
0.000 2.743 0.000
0.000 0.000 7.703
Co Ag Ir
1 1 2
direct
0.000 0.000 0.000
0.500 0.500 0.743
0.000 0.000 0.461
0.500 0.500 0.218
```

Space-group type: P4mm, No. 99
Raw total energy, eV/atom: -6.688
Polymorph energy (0 for the lowest one), meV/atom: 36

=====

No. 3
## CoAgIr2 (PBE)

Data for a relaxed CoAgIr2 crystal.

```
CoAgIr2
1.0
2.703 0.000 0.000
0.000 2.703 0.000
0.000 0.000 7.844
Co Ag Ir
1 1 2
direct
0.000 0.000 0.000
0.000 0.000 0.500
0.500 0.500 0.217
0.500 0.500 0.783
```

Space-group type: P4/mmm, No. 123
Raw total energy, eV/atom: -6.651
Polymorph energy (0 for the lowest one), meV/atom: 73